ZnFe2Os, relaxed, DFT GGA-PBE; energy of formation = 0.8 eV/f.u.; calculated density = 11.5 g cm⁻³; N(E_F) = 3.491 states/eV/f.u.; symmetry = Cmmm, No. 65; magnetic moment = 5.20 μB per cell
1.0
-1.1312 2.0020 -1.2022
1.4993 -1.3644 -1.6198
-6.5816 -4.8991 -1.9653
Zn Os Fe
1 1 2
direct
0.5000 0.5000 0.7500
0.5000 0.5000 0.2500
0.0000 0.0000 0.9999
0.0000 0.0000 0.5001

CsTeO4, relaxed, DFT GGA-PBE; calculated density = 5.2 g cm⁻³; N(E_F) = 1.448 states/eV/f.u.; symmetry = C2/c, No. 15; formation energy without anion corrections = -0.9528 eV per atom; magnetic moment = 2.06 μB per cell
1.0
5.4882 0.0000 0.0000
0.0000 5.4881 -0.2347
-2.7441 -2.4666 7.0024
O Te Cs
8 2 2
direct
0.6215 0.6334 0.7708
0.1832 0.6832 0.4868
0.3035 0.1832 0.4868
0.3785 0.3666 0.2292
0.6965 0.8168 0.5132
0.1493 0.1334 0.7708
0.8168 0.3168 0.5132
0.8507 0.8666 0.2292
0.0000 0.0000 0.5000
0.5000 0.5000 0.5000
0.7548 0.2500 0.0000
0.2452 0.7500 0.0000

CsAc3As, relaxed, DFT GGA-PBE; energy of formation = -0.8 eV/f.u.; calculated density = 6.1 g cm⁻³; N(E_F) = 8.472 states/eV/f.u.; symmetry = Pm-3m, No. 221; magnetic moment = 0.00 μB per cell
1.0
-5.8594 -1.5938 1.4135
-0.3887 -3.2675 -5.2956
2.0945 -5.0650 2.9715
Ac Cs As
3 1 1
direct
0.0000 0.5000 0.0000
0.0000 0.0000 0.5000
0.5000 0.0000 0.0000
0.5000 0.5000 0.5000
0.0000 0.0000 0.0000

Zr2TiOsN, relaxed, DFT GGA-PBE; calculated density = 9.0 g cm⁻³; N(E_F) = 3.608 states/eV/f.u.; symmetry = P4/mmm, No. 123; formation energy without anion corrections = -0.8024 eV per atom; magnetic moment = 0.43 μB per cell
1.0
-1.5565 -3.4626 -2.4775
3.8265 -2.2943 0.8027
-1.6134 -1.5690 3.2065
N Os Zr Ti
1 1 2 1
direct
0.0000 0.0000 0.0000
0.5000 0.5000 0.5000
0.5000 0.0000 0.0000
0.0000 0.5000 0.0000
0.0000 0.0000 0.5000

LaNdSi, relaxed, DFT GGA-PBE; calculated density = 6.1 g cm⁻³; N(E_F) = 3.956 states/eV/f.u.; symmetry = P-62m, No. 189; formation energy without anion corrections = -0.5158 eV per atom; excess energy over the best structure of this formula in the dataset = 0 meV per atom; magnetic moment = 0.02 μB per cell
1.0
4.3994 0.0000 0.0000
0.0000 8.1423 0.0000
0.0000 -4.0712 7.0515
La Nd Si
3 3 3
direct
0.0000 0.4140 0.4140
0.0000 0.5860 0.0000
0.0000 0.0000 0.5860
0.5000 0.2619 0.0000
0.5000 0.0000 0.2619
0.5000 0.7381 0.7381
0.5000 0.3333 0.6667
0.5000 0.6667 0.3333
0.0000 0.0000 0.0000

FeHgS2Cl, relaxed, DFT GGA-PBE; calculated density = 6.1 g cm⁻³; N(E_F) = 6.334 states/eV/f.u.; symmetry = P4/mmm, No. 123; formation energy without anion corrections = 0.1782 eV per atom; excess energy over the best structure of this formula in the dataset = 0 meV per atom; magnetic moment = 0.00 μB per cell
1.0
4.4288 0.0000 0.0000
0.0000 4.4288 0.0000
0.0000 0.0000 4.9040
S Hg Cl Fe
2 1 1 1
direct
0.0000 0.5000 0.0000
0.5000 0.0000 0.0000
0.5000 0.5000 0.5000
0.0000 0.0000 0.5000
0.0000 0.0000 0.0000